(1)
Compound: La2InSn9
Source: the Alexandria database
Functional: PBE-GGA
Structure: optimized geometry

Unit cell a=4.786 b=4.786 c=14.557 alpha=90.00 beta=90.00 gamma=90.00
Positions (direct):
Sn: 0.500 0.500 0.669
Sn: 0.000 0.500 0.837
Sn: 0.500 0.000 0.163
Sn: 0.000 0.500 0.163
Sn: 0.500 0.500 0.331
Sn: 0.500 0.000 0.837
In: 0.000 0.000 0.000
Sn: 0.500 0.000 0.500
Sn: 0.000 0.500 0.500
La: 0.000 0.000 0.660
La: 0.000 0.000 0.340
Sn: 0.500 0.500 0.000

SG = P4/mmm
DOS at the Fermi energy = 4.9 states/eV/f.u.
magnetic moment = 0.0 μB per cell
ΔE_f = -0.35 eV/atom

(2)
Compound: LaInSn3
Source: the Alexandria database
Functional: PBE-GGA
Structure: optimized geometry

Unit cell a=6.041 b=6.041 c=6.041 alpha=90.00 beta=90.00 gamma=90.00
Positions (direct):
Sn: 0.000 0.500 0.000
In: 0.500 0.500 0.500
Sn: 0.000 0.000 0.500
La: 0.000 0.000 0.000
Sn: 0.500 0.000 0.000

SG = Pm-3m
DOS at the Fermi energy = 4.0 states/eV/f.u.
energy relative to the lowest polymorph listed for this composition = 886.5 meV per atom
magnetic moment = 0.0 μB per cell
ΔE_f = 0.54 eV/atom

(3)
Compound: La2InSn
Source: the Alexandria database
Functional: PBE-GGA
Structure: optimized geometry

Unit cell a=8.866 b=8.866 c=7.093 alpha=51.32 beta=51.32 gamma=90.00
Last column: magnetic moment on the atom in μB.
Positions (direct):
In: 0.500 0.500 0.000  0.01
La: 0.375 0.370 0.750  0.14
La: 0.875 0.880 0.750  0.14
Sn: 0.750 0.250 0.500  0.00
Sn: 0.000 0.000 0.000  0.01
In: 0.250 0.750 0.500  0.01
La: 0.120 0.625 0.250  0.14
La: 0.630 0.125 0.250  0.14

SG = I-42d
DOS at the Fermi energy = 4.0 states/eV/f.u.
magnetic moment = 1.0 μB per cell
ΔE_f = -0.33 eV/atom

(4)
Compound: La2InSn8
Source: the Alexandria database
Functional: PBE-GGA
Structure: optimized geometry

Unit cell a=4.655 b=4.655 c=14.808 alpha=90.00 beta=90.00 gamma=90.00
Positions (direct):
Sn: 0.500 0.000 0.156
Sn: 0.000 0.500 0.156
La: 0.000 0.000 0.338
Sn: 0.000 0.500 0.500
Sn: 0.500 0.500 0.680
In: 0.000 0.000 0.000
La: 0.000 0.000 0.662
Sn: 0.500 0.500 0.320
Sn: 0.000 0.500 0.844
Sn: 0.500 0.000 0.500
Sn: 0.500 0.000 0.844

SG = P4/mmm
DOS at the Fermi energy = 7.1 states/eV/f.u.
magnetic moment = 0.0 μB per cell
ΔE_f = -0.36 eV/atom

(5)
Compound: La5InSn2
Source: the Alexandria database
Functional: PBE-GGA
Structure: optimized geometry

Unit cell a=8.576 b=8.576 c=9.435 alpha=117.03 beta=117.03 gamma=90.00
Positions (direct):
La: 0.478 0.323 0.301
La: 0.522 0.677 0.699
In: 0.750 0.750 0.500
La: 0.177 0.022 0.699
La: 0.677 0.177 0.699
Sn: 0.127 0.373 0.000
In: 0.250 0.250 0.500
Sn: 0.873 0.627 0.000
La: 0.978 0.478 0.301
La: 0.500 0.500 0.000
Sn: 0.627 0.127 0.000
Sn: 0.373 0.873 0.000
La: 0.823 0.978 0.301
La: 0.000 0.000 0.000
La: 0.022 0.522 0.699
La: 0.323 0.823 0.301

SG = I4/mcm
DOS at the Fermi energy = 8.4 states/eV/f.u.
magnetic moment = 1.0 μB per cell
ΔE_f = -0.58 eV/atom

(6)
Compound: La4In2Sn
Source: the Alexandria database
Functional: PBE-GGA
Structure: optimized geometry

Unit cell a=5.535 b=5.535 c=9.522 alpha=73.10 beta=73.10 gamma=60.00
Positions (direct):
La: 0.126 0.126 0.622
La: 0.621 0.621 0.136
In: 0.247 0.247 0.259
La: 0.379 0.379 0.864
La: 0.874 0.874 0.378
In: 0.753 0.753 0.741
Sn: 0.000 0.000 0.000

SG = R-3m
DOS at the Fermi energy = 9.3 states/eV/f.u.
energy relative to the lowest polymorph listed for this composition = 0.0 meV per atom
magnetic moment = 0.0 μB per cell
ΔE_f = -0.41 eV/atom